VASP calculation (PBE-GGA) on a relaxed TmAlNO crystal.

Polymorph energy (0 for the lowest one), meV per atom: 341.1

Lattice parameters (Å, degrees): 4.4663 4.4663 5.0027 90.00 90.00 90.00
Closest atoms and distances in Å follow each position.
Space group P4/nmm (No. 129, origin choice 2)
Unique sites:
Tm  0.2500  0.7500  0.0000 x2  4 N 2.29, 2 O 2.50
Al  0.2500  0.2500  0.4702 x2  1 N 1.85
N  0.2500  0.2500  0.1010 x2  1 Al 1.85
O  0.2500  0.7500  0.5000 x2  4 Al 2.24, 2 Tm 2.50

=====

VASP calculation (PBE-GGA) on a relaxed TmAlNO crystal.

Polymorph energy (0 for the lowest one), meV per atom: 25.5

Lattice parameters (Å, degrees): 4.9482 8.0934 4.8479 90.00 90.00 90.00
Closest atoms and distances in Å follow each position.
Space group Pca2_1 (No. 29)
Unique sites:
Tm  0.0059  0.1322  0.0000 x4  5 N 2.32-2.52, 1 O 2.56
Al  0.0399  0.6193  0.9693 x4  3 O 1.83-1.86, 1 N 1.84
N  0.0129  0.8459  0.9979 x4  1 Al 1.84
O  0.1197  0.5674  0.6047 x4  3 Al 1.83-1.86

=====

VASP calculation (PBE-GGA) on a relaxed TmAlNO crystal.

Polymorph energy (0 for the lowest one), meV per atom: 0.0

Lattice parameters (Å, degrees): 3.3996 6.1501 5.0028 90.00 90.00 90.00
Closest atoms and distances in Å follow each position.
Space group Pmc2_1 (No. 26)
Unique sites:
Tm  0.0000  0.1643  0.0000 x2  2 N 2.21-2.40, 2 O 2.35
Al  0.5000  0.3221  0.5249 x2  2 O 1.81-1.85, 2 N 1.89
N  0.0000  0.1944  0.4783 x2  2 Al 1.89
O  0.5000  0.4079  0.8786 x2  2 Al 1.81-1.85

=====

VASP calculation (PBE-GGA) on a relaxed TmAlNO crystal.

Polymorph energy (0 for the lowest one), meV per atom: 110.2

Lattice parameters (Å, degrees): 3.3368 6.2498 5.1436 90.00 90.00 90.00
Closest atoms and distances in Å follow each position.
Space group Pmc2_1 (No. 26)
Unique sites:
Tm  0.0000  0.1624  0.0000 x2  2 N 2.21, 2 O 2.35-2.40
Al  0.5000  0.3523  0.5352 x2  2 N 1.84-1.86, 2 O 1.91
N  0.5000  0.3767  0.8958 x2  2 Al 1.84-1.86
O  0.0000  0.2199  0.4507 x2  2 Al 1.91

=====

VASP calculation (PBE-GGA) on a relaxed TmAlNO crystal.

Polymorph energy (0 for the lowest one), meV per atom: 91.8

Lattice parameters (Å, degrees): 3.7656 3.7656 8.1974 90.00 90.00 90.00
Closest atoms and distances in Å follow each position.
Space group P4/nmm (No. 129, origin choice 2)
Unique sites:
Tm  0.2500  0.2500  0.1335 x2  4 O 2.18
Al  0.2500  0.7500  0.5000 x2  4 N 1.96
N  0.2500  0.2500  0.4325 x2  4 Al 1.96
O  0.2500  0.7500  0.0000 x2  4 Tm 2.18

=====

VASP calculation (PBE-GGA) on a relaxed TmAlNO crystal.

Polymorph energy (0 for the lowest one), meV per atom: 16.4

Lattice parameters (Å, degrees): 5.7134 7.3591 4.9446 90.00 90.00 90.00
Closest atoms and distances in Å follow each position.
Space group Pca2_1 (No. 29)
Unique sites:
Tm  0.0473  0.1319  0.0000 x4  3 O 2.23-2.43, 1 N 2.23
Al  0.0874  0.5965  0.9524 x4  1 O 1.86, 3 N 1.87
N  0.1028  0.5927  0.5739 x4  3 Al 1.87
O  0.0690  0.1859  0.5195 x4  1 Al 1.86

=====

VASP calculation (PBE-GGA) on a relaxed Ta4AlPN2 crystal.

Lattice parameters (Å, degrees): 3.0482 3.0482 13.4347 90.00 90.00 120.00
Closest atoms and distances in Å follow each position.
Space group P-6m2 (No. 187)
Unique sites:
Ta  0.0000  0.0000  0.1330 x2  3 N 2.25, 3 P 2.51
Ta  0.3333  0.6667  0.3362 x2  3 N 2.21
Al  0.0000  0.0000  0.5000 x1  6 Ta 2.82, 6 Al 3.05
P  0.3333  0.6667  0.0000 x1  6 Ta 2.51
N  0.6667  0.3333  0.2368 x2  6 Ta 2.21-2.25

=====

VASP calculation (PBE-GGA) on a relaxed Ta4AlPN2 crystal.

Lattice parameters (Å, degrees): 3.0481 3.0481 13.4348 90.00 90.00 120.00
Closest atoms and distances in Å follow each position.
Space group P-6m2 (No. 187)
Unique sites:
Ta  0.0000  0.0000  0.1330 x2  3 N 2.25, 3 P 2.51
Ta  0.6667  0.3333  0.3362 x2  3 N 2.21
Al  0.0000  0.0000  0.5000 x1  6 Ta 2.82, 6 Al 3.05
P  0.6667  0.3333  0.0000 x1  6 Ta 2.51
N  0.3333  0.6667  0.2368 x2  6 Ta 2.21-2.25

=====

VASP calculation (PBE-GGA) on a relaxed AlPbW4N2 crystal.

Lattice parameters (Å, degrees): 2.9123 2.9123 15.5431 90.00 90.00 120.00
Closest atoms and distances in Å follow each position.
Space group P-6m2 (No. 187)
Unique sites:
Al  0.0000  0.0000  0.0000 x1  6 W 2.80, 6 Al 2.91
Pb  0.3333  0.6667  0.5000 x1  6 Pb 2.91, 6 W 3.21
W  0.0000  0.0000  0.3239 x2  3 N 2.17
W  0.3333  0.6667  0.1438 x2  3 N 2.20
N  0.6667  0.3333  0.2353 x2  6 W 2.17-2.20

=====

VASP calculation (PBE-GGA) on a relaxed AlPd5N crystal.

Lattice parameters (Å, degrees): 3.8216 3.8216 6.7075 90.00 90.00 90.00
Closest atoms and distances in Å follow each position.
Space group P4/mmm (No. 123)
Unique sites:
Al  0.0000  0.0000  0.0000 x1  12 Pd 2.70-2.76
Pd  0.0000  0.5000  0.2964 x4  2 N 2.35
Pd  0.5000  0.5000  0.0000 x1  4 Al 2.70, 8 Pd 2.76
N  0.5000  0.5000  0.5000 x1  8 Pd 2.35

=====

VASP calculation (PBE-GGA) on a relaxed PmAl3N crystal.

Lattice parameters (Å, degrees): 4.4036 4.4036 4.4036 90.00 90.00 90.00
Closest atoms and distances in Å follow each position.
Space group Pm-3m (No. 221)
Unique sites:
Pm  0.0000  0.0000  0.0000 x1  12 Al 3.11
Al  0.0000  0.5000  0.5000 x3  2 N 2.20
N  0.5000  0.5000  0.5000 x1  6 Al 2.20

=====

VASP calculation (PBE-GGA) on a relaxed Ta4AlSN2 crystal.

Lattice parameters (Å, degrees): 3.0363 3.0363 13.4906 90.00 90.00 120.00
Closest atoms and distances in Å follow each position.
Space group P-6m2 (No. 187)
Unique sites:
Ta  0.0000  0.0000  0.1348 x2  3 N 2.23
Ta  0.6667  0.3333  0.3360 x2  3 N 2.20
Al  0.0000  0.0000  0.5000 x1  6 Ta 2.82, 6 Al 3.04
S  0.6667  0.3333  0.0000 x1  6 Ta 2.53
N  0.3333  0.6667  0.2371 x2  6 Ta 2.20-2.23

=====

VASP calculation (PBE-GGA) on a relaxed AlW4SN2 crystal.

Lattice parameters (Å, degrees): 2.8800 2.8800 14.0917 90.00 90.00 120.00
Closest atoms and distances in Å follow each position.
Space group P-6m2 (No. 187)
Unique sites:
Al  0.0000  0.0000  0.0000 x1  6 W 2.79, 6 Al 2.88
W  0.0000  0.0000  0.3651 x2  3 N 2.23
W  0.6667  0.3333  0.1592 x2  3 N 2.18
S  0.6667  0.3333  0.5000 x1  6 W 2.53
N  0.3333  0.6667  0.2594 x2  6 W 2.18-2.23

=====

VASP calculation (PBE-GGA) on a relaxed Zr4AlSN2 crystal.

Lattice parameters (Å, degrees): 3.3166 3.3166 13.2114 90.00 90.00 120.00
Closest atoms and distances in Å follow each position.
Space group P-6m2 (No. 187)
Unique sites:
Zr  0.0000  0.0000  0.1387 x2  3 N 2.30
Zr  0.6667  0.3333  0.3274 x2  3 N 2.27
Al  0.0000  0.0000  0.5000 x1  6 Zr 2.98, 6 Al 3.32
S  0.6667  0.3333  0.0000 x1  6 Zr 2.65
N  0.3333  0.6667  0.2357 x2  6 Zr 2.27-2.30

=====

VASP calculation (PBE-GGA) on a relaxed Zr4AlSN2 crystal.

Lattice parameters (Å, degrees): 3.3166 3.3166 13.2118 90.00 90.00 120.00
Closest atoms and distances in Å follow each position.
Space group P-6m2 (No. 187)
Unique sites:
Zr  0.0000  0.0000  0.1387 x2  3 N 2.30
Zr  0.3333  0.6667  0.3274 x2  3 N 2.27
Al  0.0000  0.0000  0.5000 x1  6 Zr 2.98, 6 Al 3.32
S  0.3333  0.6667  0.0000 x1  6 Zr 2.65
N  0.6667  0.3333  0.2357 x2  6 Zr 2.27-2.30

=====

VASP calculation (PBE-GGA) on a relaxed AlSbW4N2 crystal.

Lattice parameters (Å, degrees): 2.9674 2.9674 14.4173 90.00 90.00 120.00
Closest atoms and distances in Å follow each position.
Space group P-6m2 (No. 187)
Unique sites:
Al  0.0000  0.0000  0.0000 x1  6 W 2.79, 6 Al 2.97
Sb  0.3333  0.6667  0.5000 x1  6 W 2.85, 6 Sb 2.97
W  0.0000  0.0000  0.3418 x2  3 N 2.19
W  0.3333  0.6667  0.1528 x2  3 N 2.18
N  0.6667  0.3333  0.2467 x2  6 W 2.18-2.19

=====

VASP calculation (PBE-GGA) on a relaxed Zr4AlSbN2 crystal.

Lattice parameters (Å, degrees): 3.3169 3.3169 14.2248 90.00 90.00 120.00
Closest atoms and distances in Å follow each position.
Space group P-6m2 (No. 187)
Unique sites:
Zr  0.0000  0.0000  0.1604 x2  3 N 2.28
Zr  0.3333  0.6667  0.3374 x2  3 N 2.31
Al  0.3333  0.6667  0.0000 x1  6 Zr 2.98, 6 Al 3.32
Sb  0.0000  0.0000  0.5000 x1  6 Zr 3.00, 6 Sb 3.32
N  0.6667  0.3333  0.2472 x2  6 Zr 2.28-2.31

=====

VASP calculation (PBE-GGA) on a relaxed Sc4Ta2Al3N3 crystal.

Lattice parameters (Å, degrees): 9.5373 5.5249 14.2730 90.00 102.91 90.00
Closest atoms and distances in Å follow each position.
Space group C2/c (No. 15)
Unique sites:
Sc  0.1134  0.0785  0.0901 x8  3 N 2.21-2.24
Sc  0.2177  0.0863  0.4099 x8  3 N 2.21-2.24
Ta  0.0585  0.4150  0.9209 x8  3 N 2.13-2.15
Al  0.0000  0.1210  0.7500 x4  2 Al 2.83, 2 Ta 2.88, 4 Sc 2.95
Al  0.1476  0.4352  0.2492 x8  2 Al 2.82-2.83, 2 Ta 2.88-2.89, 4 Sc 2.96-2.97
N  0.0828  0.2510  0.4999 x8  2 Ta 2.14-2.15, 4 Sc 2.21-2.23
N  0.2500  0.2500  0.0000 x4  2 Ta 2.13, 4 Sc 2.24

=====

VASP calculation (PBE-GGA) on a relaxed Sc2Ta4Al3N3 crystal.

Lattice parameters (Å, degrees): 9.3691 5.4261 14.1974 90.00 102.97 90.00
Closest atoms and distances in Å follow each position.
Space group C2/c (No. 15)
Unique sites:
Sc  0.0459  0.0815  0.3964 x8  3 N 2.26-2.32
Ta  0.1110  0.4138  0.5829 x8  3 N 2.13-2.20
Ta  0.2236  0.4183  0.9172 x8  3 N 2.13-2.19
Al  0.0000  0.4730  0.7500 x4  4 Al 2.76, 4 Ta 2.81
Al  0.2222  0.1393  0.7505 x8  4 Al 2.76, 4 Ta 2.80-2.81
N  0.0805  0.2410  0.0000 x8  4 Ta 2.13-2.20, 2 Sc 2.26
N  0.2500  0.2500  0.5000 x4  4 Ta 2.13-2.14, 2 Sc 2.32

=====

VASP calculation (PBE-GGA) on a relaxed Zr2Sc4Al3N3 crystal.

Lattice parameters (Å, degrees): 9.6784 5.5931 14.7756 90.00 102.62 90.00
Closest atoms and distances in Å follow each position.
Space group C2/c (No. 15)
Unique sites:
Zr  0.0542  0.0834  0.4122 x8  3 N 2.25
Sc  0.1114  0.4174  0.5845 x8  3 N 2.22-2.23
Sc  0.2215  0.4162  0.9155 x8  3 N 2.22-2.23
Al  0.0000  0.4216  0.2500 x4  2 Zr 3.01, 4 Sc 3.02, 6 Al 3.20-3.29
Al  0.1695  0.0871  0.7497 x8  2 Zr 3.01-3.02, 4 Sc 3.01-3.02, 6 Al 3.20-3.29
N  0.0834  0.2503  0.0000 x8  4 Sc 2.22-2.23, 2 Zr 2.25
N  0.2500  0.2500  0.5000 x4  4 Sc 2.23, 2 Zr 2.25

=====

VASP calculation (PBE-GGA) on a relaxed Ta4AlSiN2 crystal.

Lattice parameters (Å, degrees): 3.0053 3.0053 13.9487 90.00 90.00 120.00
Closest atoms and distances in Å follow each position.
Space group P-6m2 (No. 187)
Unique sites:
Ta  0.0000  0.0000  0.1457 x2  3 N 2.20
Ta  0.6667  0.3333  0.3404 x2  3 N 2.20
Al  0.0000  0.0000  0.5000 x1  6 Ta 2.82, 6 Al 3.01
Si  0.6667  0.3333  0.0000 x1  6 Ta 2.67
N  0.3333  0.6667  0.2429 x2  6 Ta 2.20

=====

VASP calculation (PBE-GGA) on a relaxed Zr4AlSiN2 crystal.

Lattice parameters (Å, degrees): 3.2558 3.2558 13.9508 90.00 90.00 120.00
Closest atoms and distances in Å follow each position.
Space group P-6m2 (No. 187)
Unique sites:
Zr  0.0000  0.0000  0.1503 x2  3 N 2.29
Zr  0.3333  0.6667  0.3347 x2  3 N 2.27
Al  0.0000  0.0000  0.5000 x1  6 Zr 2.97, 6 Al 3.26
Si  0.3333  0.6667  0.0000 x1  6 Zr 2.82
N  0.6667  0.3333  0.2435 x2  6 Zr 2.27-2.29

=====

no.,total energy (eV per formula unit)
1,-27.98
2,-29.24
3,-29.35
4,-28.90
5,-28.98
6,-29.28
7,-78.71
8,-78.71
9,-72.88
10,-38.08
11,-23.89
12,-77.20
13,-75.36
14,-69.39
15,-69.39
16,-73.75
17,-67.21
18,-97.73
19,-106.63
20,-92.04
21,-78.08
22,-68.85